Material: KBaNaSn
Method: DFT, PBE-GGA
State: optimized geometry

Computed properties:
* formation energy from the elements: -287 meV/atom
* final energy: -0.1744 Ry per atom
* total magnetization: 0.000 μB per formula unit

a b c (Å): 5.907 5.907 5.907
angles (deg): 60.00 60.00 60.00
Fractional positions:
K 0.000 0.000 0.000
Ba 0.250 0.250 0.250
Na 0.750 0.750 0.750
Sn 0.500 0.500 0.500